# CeVRe2

Crystalline CeVRe2 at its relaxed geometry (PBE, Alexandria via LeMat-Bulk).

extended XYZ file:
```
4
Lattice="2.867 0.000 0.000 1.434 2.483 0.000 1.434 0.828 9.493" Properties=species:S:1:pos:R:3 pbc="T T T"
Re 1.434 0.828 1.987
V 0.000 0.000 0.000
Re 4.301 2.483 7.505
Ce 2.867 1.655 4.746
```

Magnetic moment in Bohr magnetons per cell: 0.00
Energy relative to the elements in meV/atom: 247
Space group: R-3m (166)